a.
Computed, not measured: ZrNiCl3 at its PBEsol-relaxed geometry at the meta-GGA SCAN level of DFT.

POSCAR file:
```
ZrNiCl3
1.0
4.515 0.000 0.000
0.000 4.515 0.000
0.000 0.000 4.515
Zr Ni Cl
1 1 3
Direct
0.000 0.000 0.000 Zr
0.500 0.500 0.500 Ni
0.000 0.500 0.500 Cl
0.500 0.000 0.500 Cl
0.500 0.500 0.000 Cl
```

Output
ρ (Mg/m³): 4.62



b.
Computed, not measured: ZrNiCl3 at its PBEsol-relaxed geometry at the meta-GGA SCAN level of DFT.

POSCAR file:
```
ZrNiCl3
1.0
4.930 0.000 0.000
0.000 4.930 0.000
0.000 0.000 4.930
Zr Ni Cl
1 1 3
Direct
0.000 0.000 0.000 Zr
0.500 0.500 0.500 Ni
0.000 0.000 0.500 Cl
0.000 0.500 0.000 Cl
0.500 0.000 0.000 Cl
```

Output
ρ (Mg/m³): 3.55



Which of them is least stable? Easy: a.